[1]
! GGA-PBE TbNdH, relaxed; values from VASP
! Energy relative to the lowest polymorph listed for this composition in eV per formula unit: 0.28
! Space group: I4mm
! Total moment in μB/f.u.: 0.0
! Crystal system: tetragonal
! Calculated volume in Å³/cell: 72.9
! Fermi-level density of states in states/eV/atom: 0.926
&SYSTEM
  ibrav = 0, nat = 3, ntyp = 3
/
ATOMIC_SPECIES
Tb 158.93 Tb.upf
Nd 144.24 Nd.upf
H 1.01 H.upf
ATOMIC_POSITIONS crystal
Tb 0.0000 0.0000 0.0000
Nd 0.7110 0.7110 0.0000
H 0.1823 0.1823 0.0000
CELL_PARAMETERS angstrom
-1.7238 1.7238 6.1326
1.7238 -1.7238 6.1326
1.7238 1.7238 -6.1326

---

[2]
! GGA-PBE TbNdH, relaxed; values from VASP
! Energy relative to the lowest polymorph listed for this composition in eV per formula unit: 0.52
! Space group: C2/m
! Total moment in μB/f.u.: 0.0
! Crystal system: monoclinic
! Calculated volume in Å³/cell: 136.1
! Fermi-level density of states in states/eV/atom: 1.226
&SYSTEM
  ibrav = 0, nat = 6, ntyp = 3
/
ATOMIC_SPECIES
Tb 158.93 Tb.upf
Nd 144.24 Nd.upf
H 1.01 H.upf
ATOMIC_POSITIONS crystal
Tb 0.1903 0.1903 0.2592
Tb 0.8097 0.8097 0.7408
Nd 0.0683 0.0683 0.7649
Nd 0.9317 0.9317 0.2351
H 0.4190 0.4190 0.9132
H 0.5810 0.5810 0.0868
CELL_PARAMETERS angstrom
6.6650 -1.7045 0.0000
6.6650 1.7045 0.0000
-0.1608 0.0000 5.9885

---

[3]
! GGA-PBE Tb2Nd2H, relaxed; values from VASP
! Space group: P4/mmm
! Total moment in μB/f.u.: 0.0
! Crystal system: tetragonal
! Total DFT energy (no corrections) in eV/cell: -23.00
! Calculated volume in Å³/cell: 132.0
! Fermi-level density of states in states/eV/atom: 1.027
&SYSTEM
  ibrav = 0, nat = 5, ntyp = 3
/
ATOMIC_SPECIES
Tb 158.93 Tb.upf
Nd 144.24 Nd.upf
H 1.01 H.upf
ATOMIC_POSITIONS crystal
Tb 0.0000 0.5000 0.0000
Tb 0.5000 0.0000 0.0000
Nd 0.0000 0.0000 0.5000
Nd 0.5000 0.5000 0.5000
H 0.0000 0.0000 0.0000
CELL_PARAMETERS angstrom
5.0820 0.0000 0.0000
0.0000 5.0820 0.0000
0.0000 0.0000 5.1109

---

[4]
! GGA-PBE TbNd2H, relaxed; values from VASP
! Energy relative to the lowest polymorph listed for this composition in eV per formula unit: 0.97
! Space group: P4/mmm
! Total moment in μB/f.u.: 0.0
! Crystal system: tetragonal
! Calculated volume in Å³/cell: 102.7
! Fermi-level density of states in states/eV/atom: 0.948
&SYSTEM
  ibrav = 0, nat = 4, ntyp = 3
/
ATOMIC_SPECIES
Tb 158.93 Tb.upf
Nd 144.24 Nd.upf
H 1.01 H.upf
ATOMIC_POSITIONS crystal
Tb 0.0000 0.0000 0.0000
Nd 0.5000 0.5000 0.3093
Nd 0.5000 0.5000 0.6907
H 0.0000 0.0000 0.5000
CELL_PARAMETERS angstrom
3.4472 0.0000 0.0000
0.0000 3.4472 0.0000
0.0000 0.0000 8.6454

---

[5]
! GGA-PBE Tb3Nd5H12, relaxed; values from VASP
! Space group: Ia-3d
! Total moment in μB/f.u.: 0.0
! Crystal system: cubic
! Total DFT energy (no corrections) in eV/cell: -346.33
! Calculated volume in Å³/cell: 1216.5
! Fermi-level density of states in states/eV/atom: 0.647
&SYSTEM
  ibrav = 0, nat = 80, ntyp = 3
/
ATOMIC_SPECIES
Tb 158.93 Tb.upf
Nd 144.24 Nd.upf
H 1.01 H.upf
ATOMIC_POSITIONS crystal
Tb 0.1250 0.2500 0.3750
Tb 0.1250 0.3750 0.7500
Tb 0.2500 0.3750 0.1250
Tb 0.2500 0.8750 0.6250
Tb 0.3750 0.1250 0.2500
Tb 0.3750 0.7500 0.1250
Tb 0.6250 0.2500 0.8750
Tb 0.6250 0.8750 0.7500
Tb 0.7500 0.1250 0.3750
Tb 0.7500 0.6250 0.8750
Tb 0.8750 0.6250 0.2500
Tb 0.8750 0.7500 0.6250
Nd 0.0000 0.0000 0.0000
Nd 0.0000 0.0000 0.5000
Nd 0.0000 0.5000 0.0000
Nd 0.0000 0.5000 0.5000
Nd 0.1250 0.7500 0.8750
Nd 0.1250 0.8750 0.2500
Nd 0.2500 0.1250 0.8750
Nd 0.2500 0.6250 0.3750
Nd 0.3750 0.2500 0.6250
Nd 0.3750 0.6250 0.7500
Nd 0.5000 0.0000 0.0000
Nd 0.5000 0.0000 0.5000
Nd 0.5000 0.5000 0.0000
Nd 0.5000 0.5000 0.5000
Nd 0.6250 0.3750 0.2500
Nd 0.6250 0.7500 0.3750
Nd 0.7500 0.3750 0.6250
Nd 0.7500 0.8750 0.1250
Nd 0.8750 0.1250 0.7500
Nd 0.8750 0.2500 0.1250
H 0.0702 0.7289 0.6568
H 0.0702 0.8413 0.4134
H 0.0721 0.2289 0.1587
H 0.0721 0.3432 0.9134
H 0.0866 0.6587 0.4298
H 0.0866 0.9279 0.6568
H 0.1568 0.2289 0.5702
H 0.1568 0.4279 0.5866
H 0.1587 0.0721 0.2289
H 0.1587 0.5866 0.9298
H 0.2289 0.1587 0.0721
H 0.2289 0.5702 0.1568
H 0.2711 0.3432 0.9298
H 0.2711 0.4279 0.3413
H 0.3413 0.2711 0.4279
H 0.3413 0.5702 0.9134
H 0.3432 0.9134 0.0721
H 0.3432 0.9298 0.2711
H 0.4134 0.0702 0.8413
H 0.4134 0.8432 0.5721
H 0.4279 0.3413 0.2711
H 0.4279 0.5866 0.1568
H 0.4298 0.0866 0.6587
H 0.4298 0.8432 0.7711
H 0.5702 0.1568 0.2289
H 0.5702 0.9134 0.3413
H 0.5721 0.4134 0.8432
H 0.5721 0.6587 0.7289
H 0.5866 0.1568 0.4279
H 0.5866 0.9298 0.1587
H 0.6568 0.0702 0.7289
H 0.6568 0.0866 0.9279
H 0.6587 0.4298 0.0866
H 0.6587 0.7289 0.5721
H 0.7289 0.5721 0.6587
H 0.7289 0.6568 0.0702
H 0.7711 0.4298 0.8432
H 0.7711 0.8413 0.9279
H 0.8413 0.4134 0.0702
H 0.8413 0.9279 0.7711
H 0.8432 0.5721 0.4134
H 0.8432 0.7711 0.4298
H 0.9134 0.0721 0.3432
H 0.9134 0.3413 0.5702
H 0.9279 0.6568 0.0866
H 0.9279 0.7711 0.8413
H 0.9298 0.1587 0.5866
H 0.9298 0.2711 0.3432
CELL_PARAMETERS angstrom
-6.7248 6.7248 6.7248
6.7248 -6.7248 6.7248
6.7248 6.7248 -6.7248

---

[6]
! GGA-PBE TbNd2H, relaxed; values from VASP
! Energy relative to the lowest polymorph listed for this composition in eV per formula unit: 0.00
! Space group: R-3m
! Total moment in μB/f.u.: 0.0
! Crystal system: trigonal
! Calculated volume in Å³/cell: 103.7
! Fermi-level density of states in states/eV/atom: 0.635
&SYSTEM
  ibrav = 0, nat = 4, ntyp = 3
/
ATOMIC_SPECIES
Tb 158.93 Tb.upf
Nd 144.24 Nd.upf
H 1.01 H.upf
ATOMIC_POSITIONS crystal
Tb 0.0000 0.0000 0.0000
Nd 0.2223 0.2223 0.2223
Nd 0.7777 0.7777 0.7777
H 0.5000 0.5000 0.5000
CELL_PARAMETERS angstrom
1.8467 1.0662 8.7782
-1.8467 1.0662 8.7782
0.0000 -2.1324 8.7782

---

[7]
! GGA-PBE Tb2Nd4Tl3H2, relaxed; values from VASP
! Space group: I4/mmm
! Total moment in μB/f.u.: 0.0
! Crystal system: tetragonal
! Total DFT energy (no corrections) in eV/cell: -45.08
! Calculated volume in Å³/cell: 296.4
! Fermi-level density of states in states/eV/atom: 0.833
&SYSTEM
  ibrav = 0, nat = 11, ntyp = 4
/
ATOMIC_SPECIES
Tb 158.93 Tb.upf
Nd 144.24 Nd.upf
Tl 204.38 Tl.upf
H 1.01 H.upf
ATOMIC_POSITIONS crystal
Tb 0.2002 0.2002 0.0000
Tb 0.7998 0.7998 0.0000
Nd 0.0866 0.5866 0.5000
Nd 0.4134 0.9134 0.5000
Nd 0.5866 0.0866 0.5000
Nd 0.9134 0.4134 0.5000
Tl 0.3233 0.3233 0.0000
Tl 0.5000 0.5000 0.0000
Tl 0.6767 0.6767 0.0000
H 0.1080 0.1080 0.0000
H 0.8920 0.8920 0.0000
CELL_PARAMETERS angstrom
-2.4189 2.4189 12.6640
2.4189 -2.4189 12.6640
2.4189 2.4189 -12.6640

---

[8]
! GGA-PBE Tb4Nd2Tl3H2, relaxed; values from VASP
! Space group: I4/mmm
! Total moment in μB/f.u.: 0.0
! Crystal system: tetragonal
! Total DFT energy (no corrections) in eV/cell: -45.25
! Calculated volume in Å³/cell: 287.7
! Fermi-level density of states in states/eV/atom: 0.819
&SYSTEM
  ibrav = 0, nat = 11, ntyp = 4
/
ATOMIC_SPECIES
Tb 158.93 Tb.upf
Nd 144.24 Nd.upf
Tl 204.38 Tl.upf
H 1.01 H.upf
ATOMIC_POSITIONS crystal
Tb 0.0828 0.5828 0.5000
Tb 0.4172 0.9172 0.5000
Tb 0.5828 0.0828 0.5000
Tb 0.9172 0.4172 0.5000
Nd 0.1972 0.1972 0.0000
Nd 0.8028 0.8028 0.0000
Tl 0.3289 0.3289 0.0000
Tl 0.5000 0.5000 0.0000
Tl 0.6711 0.6711 0.0000
H 0.0988 0.0988 0.0000
H 0.9012 0.9012 0.0000
CELL_PARAMETERS angstrom
-2.4092 2.4092 12.3920
2.4092 -2.4092 12.3920
2.4092 2.4092 -12.3920

---

[9]
! GGA-PBE NdTcH5, relaxed; values from VASP
! Space group: Imm2
! Total moment in μB/f.u.: 0.4
! Crystal system: orthorhombic
! Total DFT energy (no corrections) in eV/cell: -32.38
! Calculated volume in Å³/cell: 75.1
! Fermi-level density of states in states/eV/atom: 0.358
&SYSTEM
  ibrav = 0, nat = 7, ntyp = 3
/
ATOMIC_SPECIES
Nd 144.24 Nd.upf
Tc 98.00 Tc.upf
H 1.01 H.upf
ATOMIC_POSITIONS crystal
Nd 0.0000 0.0000 0.0000
Tc 0.4672 0.9672 0.5000
H 0.0558 0.7633 0.2926
H 0.4707 0.7633 0.7074
H 0.4953 0.3082 0.8130
H 0.4953 0.6823 0.1870
H 0.9837 0.4837 0.5000
CELL_PARAMETERS angstrom
-2.7265 3.5499 1.9401
2.7265 -3.5499 1.9401
2.7265 3.5499 -1.9401